# 1
Density functional theory data (PBE) for a relaxed CsTmSn2Cl8 crystal.

```
12
Lattice="6.961 0.177 0.364 0.241 6.432 0.090 0.475 0.110 9.576" Properties=species:S:1:pos:R:3 pbc="T T T"
Cs 0.238 0.055 4.788
Tm 0.000 0.000 0.000
Sn 3.777 3.253 7.553
Sn 3.900 3.465 2.477
Cl 1.477 5.064 1.915
Cl 5.011 5.112 0.712
Cl 6.203 1.833 2.258
Cl 6.200 1.654 8.116
Cl 2.666 1.606 9.318
Cl 1.474 4.886 7.772
Cl 4.609 4.866 4.434
Cl 3.068 1.852 5.597
```

Computed properties:
- raw total energy (eV per atom) = -3.927
- space-group type = P-1

---

# 2
Density functional theory data (PBE) for a relaxed Sm4Ho5Er4 crystal.

```
13
Lattice="-2.428 4.279 0.953 -7.604 -0.152 -5.515 -5.894 -1.979 7.043" Properties=species:S:1:pos:R:3 pbc="T T T"
Sm -9.839 2.502 3.233
Sm -6.533 1.683 2.150
Sm -6.088 -0.352 -0.752
Sm -9.394 0.466 0.331
Ho -12.673 1.300 1.405
Ho -3.253 0.849 1.076
Ho 0.000 0.000 0.000
Ho -8.061 1.891 -2.672
Ho -7.866 0.258 5.153
Er -5.235 3.087 -0.843
Er -10.692 -0.938 3.324
Er -11.339 2.724 -1.588
Er -4.587 -0.575 4.069
```

Computed properties:
- raw total energy (eV per atom) = -4.597
- space-group type = I4/m

---

Q: Look up the raw total energy of the first one.
A: -3.927 eV per atom

---

Q: What is the raw total energy in the second record?
A: -4.597 eV per atom

---

Q: What is the raw total energy in the second record?
A: -4.597 eV per atom

---

Q: The highest raw total energy belongs to which entry?
A: CsTmSn2Cl8